[1]
Ho3Si2B | PBE-GGA | relaxed

The structure in CIF format:
```
data_Ho3Si2B
_chemical_formula_sum 'Ho12 Si8 B4'
_cell_length_a 11.006
_cell_length_b 3.700
_cell_length_c 11.702
_cell_angle_alpha 90.00
_cell_angle_beta 90.00
_cell_angle_gamma 90.00
_space_group_name_H-M_alt 'P n m a'
_space_group_IT_number 62
loop_
_space_group_symop_operation_xyz
'x,y,z'
'-x,-y,-z'
'-x+1/2,-y,z+1/2'
'x+1/2,y,-z+1/2'
'x+1/2,-y+1/2,-z+1/2'
'-x+1/2,y+1/2,z+1/2'
'-x,y+1/2,-z'
'x,-y+1/2,z'
loop_
_atom_site_label
_atom_site_fract_x
_atom_site_fract_y
_atom_site_fract_z
Ho1 0.070 0.250 0.125
Ho2 0.114 0.750 0.551
Ho3 0.203 0.250 0.787
Si1 0.041 0.750 0.318
Si2 0.197 0.750 0.973
B1 0.135 0.250 0.374
```

Results
**Crystal system**: orthorhombic
**Volume**: 19.9 Å³ per atom
**E_tot**: -34.8 eV/f.u.

[2]
Ho3SiB4 | PBE-GGA | relaxed

The structure in CIF format:
```
data_Ho3SiB4
_chemical_formula_sum 'Ho6 Si2 B8'
_cell_length_a 3.883
_cell_length_b 4.836
_cell_length_c 13.185
_cell_angle_alpha 90.00
_cell_angle_beta 90.00
_cell_angle_gamma 90.00
_space_group_name_H-M_alt 'I m m m'
_space_group_IT_number 71
_space_group_name_Hall '-I 2 2'
loop_
_atom_site_label
_atom_site_fract_x
_atom_site_fract_y
_atom_site_fract_z
Ho1 0.000 0.000 0.000
Ho2 0.000 0.500 0.187
Si1 0.000 0.000 0.500
B1 0.000 0.333 0.380
```

Results
**Crystal system**: orthorhombic
**Volume**: 15.5 Å³ per atom
**E_tot**: -48.1 eV/f.u.

[3]
Ho2Si2Tc2B | PBE-GGA | relaxed

The structure in CIF format:
```
data_Ho2Si2Tc2B
_chemical_formula_sum 'Ho4 Si4 Tc4 B2'
_cell_length_a 10.889
_cell_length_b 4.030
_cell_length_c 6.915
_cell_angle_alpha 90.00
_cell_angle_beta 126.62
_cell_angle_gamma 90.00
_space_group_name_H-M_alt 'C 1 2/m 1'
_space_group_IT_number 12
loop_
_space_group_symop_operation_xyz
'x,y,z'
'-x,-y,-z'
'-x,y,-z'
'x,-y,z'
'x+1/2,y+1/2,z'
'-x+1/2,-y+1/2,-z'
'-x+1/2,y+1/2,-z'
'x+1/2,-y+1/2,z'
loop_
_atom_site_label
_atom_site_fract_x
_atom_site_fract_y
_atom_site_fract_z
Ho1 0.075 0.000 0.305
Si1 0.139 0.500 0.681
Tc1 0.214 0.500 0.096
B1 0.000 0.500 0.000
```

Results
**Crystal system**: monoclinic
**Volume**: 17.4 Å³ per atom
**E_tot**: -52.1 eV/f.u.

[4]
HoSi2Tc2B | PBE-GGA | relaxed

The structure in CIF format:
```
data_HoSi2Tc2B
_chemical_formula_sum 'Ho1 Si2 Tc2 B1'
_cell_length_a 4.209
_cell_length_b 4.209
_cell_length_c 5.185
_cell_angle_alpha 90.00
_cell_angle_beta 90.00
_cell_angle_gamma 90.00
_space_group_name_H-M_alt 'P 4/m m m'
_space_group_IT_number 123
_space_group_name_Hall '-P 4 2'
loop_
_atom_site_label
_atom_site_fract_x
_atom_site_fract_y
_atom_site_fract_z
Ho1 0.000 0.000 0.000
Si1 0.500 0.500 0.231
Tc1 0.000 0.500 0.500
B1 0.000 0.000 0.500
```

Results
**Crystal system**: tetragonal
**Volume**: 15.3 Å³ per atom
**E_tot**: -46.6 eV/f.u.

[5]
SmHoB12 | PBE-GGA | relaxed

The structure in CIF format:
```
data_SmHoB12
_chemical_formula_sum 'Sm1 Ho1 B12'
_cell_length_a 4.104
_cell_length_b 4.104
_cell_length_c 8.213
_cell_angle_alpha 90.00
_cell_angle_beta 90.00
_cell_angle_gamma 90.00
_space_group_name_H-M_alt 'P 4/m m m'
_space_group_IT_number 123
_space_group_name_Hall '-P 4 2'
loop_
_atom_site_label
_atom_site_fract_x
_atom_site_fract_y
_atom_site_fract_z
Sm1 0.000 0.000 0.000
Ho1 0.000 0.000 0.500
B1 0.199 0.500 0.251
B2 0.500 0.500 0.100
B3 0.500 0.500 0.401
```

Results
**Energy relative to the elements**: -419 meV/atom
**Crystal system**: tetragonal
**Volume**: 9.9 Å³ per atom

[6]
HoSnB | PBE-GGA | relaxed

The structure in CIF format:
```
data_HoSnB
_chemical_formula_sum 'Ho4 Sn4 B4'
_cell_length_a 3.329
_cell_length_b 16.378
_cell_length_c 4.449
_cell_angle_alpha 90.00
_cell_angle_beta 90.00
_cell_angle_gamma 90.00
_space_group_name_H-M_alt 'C m c m'
_space_group_IT_number 63
_space_group_name_Hall '-C 2c 2'
loop_
_atom_site_label
_atom_site_fract_x
_atom_site_fract_y
_atom_site_fract_z
Ho1 0.000 0.068 0.250
Sn1 0.000 0.197 0.750
B1 0.000 0.419 0.250
```

Results
**Energy relative to the elements**: 270 meV/atom
**Crystal system**: orthorhombic
**Volume**: 20.2 Å³ per atom

[7]
HoTaB | PBE-GGA | relaxed

The structure in CIF format:
```
data_HoTaB
_chemical_formula_sum 'Ho6 Ta6 B6'
_cell_length_a 3.6052
_cell_length_b 3.6052
_cell_length_c 30.7645
_cell_angle_alpha 90.00
_cell_angle_beta 90.00
_cell_angle_gamma 120.00
_space_group_name_H-M_alt 'R -3 m'
_space_group_IT_number 166
_space_group_name_Hall '-R 3 2"'
loop_
_atom_site_label
_atom_site_fract_x
_atom_site_fract_y
_atom_site_fract_z
Ho1 0.0000 0.0000 0.1119
Ta1 0.0000 0.0000 0.3021
B1 0.0000 0.0000 0.3937
```

Results
**Energy relative to the elements**: -138 meV/atom
**Crystal system**: trigonal
**Volume**: 19.2 Å³ per atom

[8]
HoTaB2 | PBE-GGA | relaxed

The structure in CIF format:
```
data_HoTaB2
_chemical_formula_sum 'Ho3 Ta3 B6'
_cell_length_a 3.4350
_cell_length_b 3.4350
_cell_length_c 17.4578
_cell_angle_alpha 90.00
_cell_angle_beta 90.00
_cell_angle_gamma 120.00
_space_group_name_H-M_alt 'R -3 m'
_space_group_IT_number 166
_space_group_name_Hall '-R 3 2"'
loop_
_atom_site_label
_atom_site_fract_x
_atom_site_fract_y
_atom_site_fract_z
Ho1 0.0000 0.0000 0.0000
Ta1 0.0000 0.0000 0.5000
B1 0.0000 0.0000 0.2356
```

Results
**Energy relative to the elements**: -185 meV/atom
**Crystal system**: trigonal
**Volume**: 14.9 Å³ per atom

[9]
Tb2HoB6 | PBE-GGA | relaxed

The structure in CIF format:
```
data_Tb2HoB6
_chemical_formula_sum 'Tb2 Ho1 B6'
_cell_length_a 5.7026
_cell_length_b 5.7026
_cell_length_c 3.8949
_cell_angle_alpha 90.00
_cell_angle_beta 90.00
_cell_angle_gamma 120.00
_space_group_name_H-M_alt 'P 6/m m m'
_space_group_IT_number 191
_space_group_name_Hall '-P 6 2'
loop_
_atom_site_label
_atom_site_fract_x
_atom_site_fract_y
_atom_site_fract_z
Tb1 0.3333 0.6667 0.0000
Ho1 0.0000 0.0000 0.0000
B1 0.0000 0.3318 0.5000
```

Results
**Energy relative to the elements**: -553 meV/atom
**Crystal system**: hexagonal
**Volume**: 12.2 Å³ per atom

[10]
TbHoB | PBE-GGA | relaxed

The structure in CIF format:
```
data_TbHoB
_chemical_formula_sum 'Tb6 Ho6 B6'
_cell_length_a 7.622
_cell_length_b 4.657
_cell_length_c 10.875
_cell_angle_alpha 90.00
_cell_angle_beta 96.65
_cell_angle_gamma 90.00
_space_group_name_H-M_alt 'P 1 21/m 1'
_space_group_IT_number 11
loop_
_space_group_symop_operation_xyz
'x,y,z'
'-x,-y,-z'
'-x,y+1/2,-z'
'x,-y+1/2,z'
loop_
_atom_site_label
_atom_site_fract_x
_atom_site_fract_y
_atom_site_fract_z
Tb1 0.009 0.250 0.283
Tb2 0.403 0.750 0.911
Tb3 0.478 0.750 0.610
Ho1 0.097 0.250 0.934
Ho2 0.168 0.250 0.568
Ho3 0.318 0.750 0.232
B1 0.183 0.750 0.448
B2 0.265 0.250 0.141
B3 0.342 0.250 0.787
```

Results
**Energy relative to the elements**: 33 meV/atom
**Crystal system**: monoclinic
**Volume**: 21.3 Å³ per atom

[11]
HoTc2B4 | PBE-GGA | relaxed

The structure in CIF format:
```
data_HoTc2B4
_chemical_formula_sum 'Ho4 Tc8 B16'
_cell_length_a 11.313
_cell_length_b 5.510
_cell_length_c 5.784
_cell_angle_alpha 90.00
_cell_angle_beta 110.76
_cell_angle_gamma 90.00
_space_group_name_H-M_alt 'C 1 2/c 1'
_space_group_IT_number 15
loop_
_space_group_symop_operation_xyz
'x,y,z'
'-x,-y,-z'
'-x,y,-z+1/2'
'x,-y,z+1/2'
'x+1/2,y+1/2,z'
'-x+1/2,-y+1/2,-z'
'-x+1/2,y+1/2,-z+1/2'
'x+1/2,-y+1/2,z+1/2'
loop_
_atom_site_label
_atom_site_fract_x
_atom_site_fract_y
_atom_site_fract_z
Ho1 0.000 0.240 0.250
Tc1 0.241 0.435 0.166
B1 0.084 0.315 0.796
B2 0.136 0.105 0.020
```

Results
**Energy relative to the elements**: -168 meV/atom
**Crystal system**: monoclinic
**Volume**: 12.0 Å³ per atom

[12]
HoTc4B4 | PBE-GGA | relaxed

The structure in CIF format:
```
data_HoTc4B4
_chemical_formula_sum 'Ho2 Tc8 B8'
_cell_length_a 7.352
_cell_length_b 7.352
_cell_length_c 4.256
_cell_angle_alpha 90.00
_cell_angle_beta 90.00
_cell_angle_gamma 90.00
_space_group_name_H-M_alt 'P 42/n'
_space_group_IT_number 86
loop_
_space_group_symop_operation_xyz
'x,y,z'
'-x,-y,-z'
'-y,x+1/2,z+1/2'
'y,-x+1/2,-z+1/2'
'-x+1/2,-y+1/2,z'
'x+1/2,y+1/2,-z'
'y+1/2,-x,z+1/2'
'-y+1/2,x,-z+1/2'
loop_
_atom_site_label
_atom_site_fract_x
_atom_site_fract_y
_atom_site_fract_z
Ho1 0.250 0.250 0.250
Tc1 0.117 0.624 0.117
B1 0.065 0.926 0.119
```

Results
**Energy relative to the elements**: -426 meV/atom
**Crystal system**: tetragonal
**Volume**: 12.8 Å³ per atom

- Which value of volume does entry 4 give?
  15.3 Å³ per atom

- Among the records above, which one has the lowest volume?
  SmHoB12

What did the tenth record say?
TbHoB | PBE-GGA | relaxed

The structure in CIF format:
```
data_TbHoB
_chemical_formula_sum 'Tb6 Ho6 B6'
_cell_length_a 7.622
_cell_length_b 4.657
_cell_length_c 10.875
_cell_angle_alpha 90.00
_cell_angle_beta 96.65
_cell_angle_gamma 90.00
_space_group_name_H-M_alt 'P 1 21/m 1'
_space_group_IT_number 11
loop_
_space_group_symop_operation_xyz
'x,y,z'
'-x,-y,-z'
'-x,y+1/2,-z'
'x,-y+1/2,z'
loop_
_atom_site_label
_atom_site_fract_x
_atom_site_fract_y
_atom_site_fract_z
Tb1 0.009 0.250 0.283
Tb2 0.403 0.750 0.911
Tb3 0.478 0.750 0.610
Ho1 0.097 0.250 0.934
Ho2 0.168 0.250 0.568
Ho3 0.318 0.750 0.232
B1 0.183 0.750 0.448
B2 0.265 0.250 0.141
B3 0.342 0.250 0.787
```

Results
**Energy relative to the elements**: 33 meV/atom
**Crystal system**: monoclinic
**Volume**: 21.3 Å³ per atom